Entry from Alexandria via LeMat-Bulk: CdCu2Au2 after structural relaxation (PBE).

Results
E_tot	-3.18	eV/atom
crystal system	monoclinic
calculated formation energy	-50	meV per atom
E above lowest polymorph	0.0000	eV/atom

Cell lengths 8.494, 4.212, 5.886 Å; angles 90.00, 129.47, 90.00 degrees
Space group C2/m (No. 12)
Inequivalent atoms, fractional coordinates:
Cd: 0.000 0.000 0.000 [2 per cell]
Cu: 0.084 0.500 0.773 [4 per cell]
Au: 0.209 0.000 0.636 [4 per cell]